{
  "formula": "VRh",
  "functional": "PBE",
  "state": "optimized geometry",
  "lattice": [[9.2667, 0.0000, 0.0000], [0.0000, 9.2667, 0.0000], [0.0000, 0.0000, 2.7715]],
  "species": ["V", "V", "V", "V", "V", "V", "V", "V", "Rh", "Rh", "Rh", "Rh", "Rh", "Rh", "Rh", "Rh"],
  "fractional_positions": [[0.4002, 0.8641, 0.0000], [0.5998, 0.1359, 0.0000], [0.1359, 0.4002, 0.0000], [0.8641, 0.5998, 0.0000], [0.9002, 0.3641, 0.5000], [0.0998, 0.6359, 0.5000], [0.6359, 0.9002, 0.5000], [0.3641, 0.0998, 0.5000], [0.3916, 0.3247, 0.0000], [0.6084, 0.6753, 0.0000], [0.6753, 0.3916, 0.0000], [0.3247, 0.6084, 0.0000], [0.8916, 0.8247, 0.5000], [0.1084, 0.1753, 0.5000], [0.1753, 0.8916, 0.5000], [0.8247, 0.1084, 0.5000]],
  "e_tot_ev_per_atom": -8.207,
  "sg": "I4/m (87)",
  "formation_energy_ev_per_atom": 0.03,
  "magmom_total_mub_per_cell": 0.0
}